A plane-wave DFT calculation with PBE-GGA was carried out for La2SnGe3Pt4 after structural relaxation.

Computed properties:
ΔH_f (0 K) = -91 kJ/mol of atoms
energy = -61.325 eV for the cell shown

Lattice parameters (Å, degrees): 4.4693 4.4693 10.3473 90.00 90.00 90.00
Last column: nearest neighbours and their distance in Å.
Space group P-4m2 (No. 115)
One atom of each set of equivalent atoms:
La 0.0000 0.5000 0.2404 x2  8 Pt 3.34-3.40, 6 Ge 3.39-3.49, 2 Sn 3.49
Sn 0.0000 0.0000 0.5000 x1  4 Pt 2.65
Ge 0.0000 0.5000 0.8769 x2  5 Pt 2.47-2.57
Ge 0.5000 0.5000 0.5000 x1  4 Pt 2.65
Pt 0.0000 0.0000 0.0000 x1  4 Ge 2.57
Pt 0.0000 0.5000 0.6384 x2  3 Ge 2.47-2.65, 2 Sn 2.65
Pt 0.5000 0.5000 0.0000 x1  4 Ge 2.57